Material: Tb2Ho2Th3
Method: DFT, GGA-PBE
State: optimized geometry

It has space group C2/m (No. 12), with a = 14.441 Å, b = 3.581 Å, c = 11.638 Å, α = 90.00°, β = 127.15° and γ = 90.00°. The distinct sites, in fractional coordinates, are Tb at (0.245, 0.000, 0.368), Ho at (0.240, 0.500, 0.109), Th at (0.000, 0.000, 0.000) and Th at (0.001, 0.500, 0.734).

The value obtained for the formation enthalpy at 0 K is 0.23 eV/atom. Its excess energy over the best structure of this formula in the dataset is 0.092 eV/atom. As for the uncorrected energy: -39.1 eV/f.u. Its crystal system is monoclinic. The density of states at the Fermi level is 1.400 states/eV per atom.


Material: Pm8GeIr3Br4
Method: DFT, GGA-PBE
State: optimized geometry

It has space group R-3m (No. 166, hexagonal axes), with a = 8.3963 Å, b = 8.3963 Å, c = 22.9202 Å, α = 90.00°, β = 90.00° and γ = 120.00°. The distinct sites, in fractional coordinates, are Pm at (0.0000, 0.0000, 0.2325), Pm at (0.0129, 0.5064, 0.7676), Ge at (0.0000, 0.0000, 0.5000), Ir at (0.0000, 0.5000, 0.5000), Br at (0.0000, 0.0000, 0.0000) and Br at (0.0000, 0.5000, 0.0000).

As for the uncorrected energy: -93.1 eV/f.u. Its crystal system is trigonal. The uncorrected formation energy comes out at -1076 meV/atom. The density of states at the Fermi level is 0.677 states/eV per atom.


Material: Sm6Dy3Y
Method: DFT, GGA-PBE
State: optimized geometry

It has space group Cmc2_1 (No. 36), with a = 9.754 Å, b = 21.305 Å, c = 6.425 Å, α = 90.00°, β = 90.00° and γ = 90.00°. The distinct sites, in fractional coordinates, are Sm at (0.000, 0.015, 0.000), Sm at (0.000, 0.302, 0.016), Sm at (0.175, 0.281, 0.488), Sm at (0.181, 0.440, 0.243), Dy at (0.000, 0.420, 0.721), Dy at (0.168, 0.126, 0.323) and Y at (0.000, 0.159, 0.799).

The value obtained for the formation enthalpy at 0 K is 0.12 eV/atom. Its excess energy over the best structure of this formula in the dataset is 0.000 eV/atom. As for the uncorrected energy: -47.3 eV/f.u. Its crystal system is orthorhombic. The density of states at the Fermi level is 1.667 states/eV per atom.


Material: CoRe3
Method: DFT, GGA-PBE
State: optimized geometry

It has space group Pmm2 (No. 25), with a = 2.726 Å, b = 4.346 Å, c = 4.720 Å, α = 90.00°, β = 90.00° and γ = 90.00°. The distinct sites, in fractional coordinates, are Co at (0.000, 0.000, 0.000), Re at (0.000, 0.500, 0.335), Re at (0.500, 0.000, 0.515) and Re at (0.500, 0.500, 0.848).

The value obtained for the formation enthalpy at 0 K is 0.01 eV/atom. As for the uncorrected energy: -44.4 eV/f.u. Its crystal system is orthorhombic. The density of states at the Fermi level is 0.996 states/eV per atom.


Material: Re2RhPbO8
Method: DFT, GGA-PBE
State: optimized geometry

It has space group C2/m (No. 12), with a = 8.913 Å, b = 6.342 Å, c = 7.176 Å, α = 90.00°, β = 94.14° and γ = 90.00°. The distinct sites, in fractional coordinates, are Re at (0.131, 0.000, 0.268), Rh at (0.000, 0.500, 0.500), Pb at (0.000, 0.500, 0.000), O at (0.021, 0.238, 0.279), O at (0.225, 0.000, 0.057) and O at (0.233, 0.500, 0.538).

As for the uncorrected energy: -90.1 eV/f.u. Its crystal system is monoclinic. The uncorrected formation energy comes out at -1211 meV/atom. The density of states at the Fermi level is 0.373 states/eV per atom.


Material: PdPt4Au
Method: DFT, GGA-PBE
State: optimized geometry

It has space group P4/mmm (No. 123), with a = 2.814 Å, b = 2.814 Å, c = 12.088 Å, α = 90.00°, β = 90.00° and γ = 90.00°. The distinct sites, in fractional coordinates, are Pd at (0.000, 0.000, 0.000), Pt at (0.000, 0.000, 0.325), Pt at (0.500, 0.500, 0.162) and Au at (0.500, 0.500, 0.500).

The value obtained for the formation enthalpy at 0 K is 0.01 eV/atom. Its excess energy over the best structure of this formula in the dataset is 0.000 eV/atom. As for the uncorrected energy: -32.6 eV/f.u. Its crystal system is tetragonal. The density of states at the Fermi level is 1.847 states/eV per atom.


Material: Ac4Cu3Au
Method: DFT, GGA-PBE
State: optimized geometry

It has space group Pmm2 (No. 25), with a = 4.247 Å, b = 4.738 Å, c = 11.453 Å, α = 90.00°, β = 90.00° and γ = 90.00°. The distinct sites, in fractional coordinates, are Ac at (0.000, 0.000, 0.000), Ac at (0.000, 0.500, 0.275), Ac at (0.500, 0.000, 0.491), Ac at (0.500, 0.500, 0.777), Cu at (0.000, 0.500, 0.563), Cu at (0.500, 0.000, 0.199), Cu at (0.500, 0.500, 0.072) and Au at (0.000, 0.000, 0.707).

The value obtained for the formation enthalpy at 0 K is -0.31 eV/atom. As for the uncorrected energy: -34.5 eV/f.u. Its crystal system is orthorhombic. The density of states at the Fermi level is 0.809 states/eV per atom.


Material: Tl2TcSe
Method: DFT, GGA-PBE
State: optimized geometry

It has space group P4mm (No. 99), with a = 3.168 Å, b = 3.168 Å, c = 9.431 Å, α = 90.00°, β = 90.00° and γ = 90.00°. The distinct sites, in fractional coordinates, are Tl at (0.000, 0.000, 0.000), Tl at (0.500, 0.500, 0.315), Tc at (0.500, 0.500, 0.764) and Se at (0.000, 0.000, 0.639).

Its excess energy over the best structure of this formula in the dataset is 0.011 eV/atom. As for the uncorrected energy: -18.3 eV/f.u. Its crystal system is tetragonal. The uncorrected formation energy comes out at 73 meV/atom. The density of states at the Fermi level is 0.605 states/eV per atom.


Material: LaPb2W
Method: DFT, GGA-PBE
State: optimized geometry

It has space group Immm (No. 71), with a = 3.190 Å, b = 6.018 Å, c = 11.037 Å, α = 90.00°, β = 90.00° and γ = 90.00°. The distinct sites, in fractional coordinates, are La at (0.000, 0.000, 0.000), Pb at (0.000, 0.500, 0.219) and W at (0.000, 0.000, 0.500).

The value obtained for the formation enthalpy at 0 K is 0.41 eV/atom. Its excess energy over the best structure of this formula in the dataset is 0.031 eV/atom. As for the uncorrected energy: -23.7 eV/f.u. Its crystal system is orthorhombic. The density of states at the Fermi level is 0.759 states/eV per atom.


Material: MgPd4O8
Method: DFT, GGA-PBE
State: optimized geometry

It has space group F-43m (No. 216), with a = 8.779 Å, b = 8.779 Å, c = 8.779 Å, α = 90.00°, β = 90.00° and γ = 90.00°. The distinct sites, in fractional coordinates, are Mg at (0.000, 0.000, 0.000), Pd at (0.124, 0.124, 0.624), O at (0.109, 0.109, 0.391) and O at (0.136, 0.136, 0.864).

As for the uncorrected energy: -70.2 eV/f.u. Its crystal system is cubic. The uncorrected formation energy comes out at -629 meV/atom. The density of states at the Fermi level is 0.736 states/eV per atom.


Material: NaGa2WCl
Method: DFT, GGA-PBE
State: optimized geometry

It has space group P4/mmm (No. 123), with a = 4.953 Å, b = 4.953 Å, c = 6.534 Å, α = 90.00°, β = 90.00° and γ = 90.00°. The distinct sites, in fractional coordinates, are Na at (0.000, 0.000, 0.000), Ga at (0.000, 0.500, 0.500), W at (0.000, 0.000, 0.500) and Cl at (0.500, 0.500, 0.000).

As for the uncorrected energy: -19.0 eV/f.u. Its crystal system is tetragonal. The uncorrected formation energy comes out at 627 meV/atom. The density of states at the Fermi level is 1.048 states/eV per atom.


Material: Ti2AuSI
Method: DFT, GGA-PBE
State: optimized geometry

It has space group P4/mmm (No. 123), with a = 5.215 Å, b = 5.215 Å, c = 5.149 Å, α = 90.00°, β = 90.00° and γ = 90.00°. The distinct sites, in fractional coordinates, are Ti at (0.000, 0.500, 0.000), Au at (0.000, 0.000, 0.500), S at (0.500, 0.500, 0.500) and I at (0.000, 0.000, 0.000).

As for the uncorrected energy: -19.4 eV/f.u. Its crystal system is tetragonal. The uncorrected formation energy comes out at 1076 meV/atom. The density of states at the Fermi level is 0.820 states/eV per atom.